1.
## LaTaNi2 (PBE)

Data for an optimized crystal structure of LaTaNi2.

a = 4.5486 Å, b = 4.5486 Å, c = 4.5486 Å
α = 60.00°, β = 60.00°, γ = 60.00°
Closest atoms and distances in Å follow each position.
Fractional coordinates of all 4 atoms:
Ta: 0.7500 0.7500 0.7500  4 Ni 2.79, 4 La 2.79
Ni: 0.0000 0.0000 0.0000  4 Ta 2.79, 4 Ni 2.79
La: 0.5000 0.5000 0.5000  4 Ni 2.79, 4 Ta 2.79
Ni: 0.2500 0.2500 0.2500  4 Ni 2.79, 4 La 2.79

Results
- symmetry = F-43m, No. 216



2.
## LaTa2Ni (PBE)

Data for an optimized crystal structure of LaTa2Ni.

a = 4.9971 Å, b = 4.9971 Å, c = 9.2228 Å
α = 74.28°, β = 74.28°, γ = 90.00°
Closest atoms and distances in Å follow each position.
Fractional coordinates of all 8 atoms:
Ni: 0.5000 0.5000 0.0000  4 Ta 2.47
La: 0.7500 0.2500 0.5000  8 Ta 3.51, 4 Ni 3.53
Ta: 0.3750 0.6255 0.7500  2 Ni 2.47, 2 Ta 2.50
Ta: 0.3755 0.6250 0.2500  2 Ni 2.47, 2 Ta 2.50
Ta: 0.8750 0.6245 0.7500  2 Ni 2.47, 2 Ta 2.50
La: 0.0000 0.0000 0.0000  8 Ta 3.51, 4 Ni 3.53
Ta: 0.3745 0.1250 0.2500  2 Ni 2.47, 2 Ta 2.50
Ni: 0.2500 0.7500 0.5000  4 Ta 2.47

Results
- symmetry = I4_1/amd, No. 141



3.
## La2TaNi2 (PBE)

Data for an optimized crystal structure of La2TaNi2.

a = 6.8718 Å, b = 6.8718 Å, c = 4.5522 Å
α = 90.00°, β = 90.00°, γ = 90.00°
Closest atoms and distances in Å follow each position.
Fractional coordinates of all 10 atoms:
Ni: 0.6388 0.1388 0.0000  2 Ta 2.66, 1 Ni 2.70, 2 La 2.91
Ta: 0.5000 0.5000 0.0000  4 Ni 2.66
La: 0.3252 0.1748 0.5000  6 Ni 2.91-3.14
Ni: 0.1388 0.3612 0.0000  2 Ta 2.66, 1 Ni 2.70, 2 La 2.91
Ta: 0.0000 0.0000 0.0000  4 Ni 2.66
La: 0.8252 0.3252 0.5000  6 Ni 2.91-3.14
La: 0.1748 0.6748 0.5000  6 Ni 2.91-3.14
Ni: 0.3612 0.8612 0.0000  2 Ta 2.66, 1 Ni 2.70, 2 La 2.91
La: 0.6748 0.8252 0.5000  6 Ni 2.91-3.14
Ni: 0.8612 0.6388 0.0000  2 Ta 2.66, 1 Ni 2.70, 2 La 2.91

Results
- symmetry = P4/mbm, No. 127



4.
## LaTa2Ni (PBE)

Data for an optimized crystal structure of LaTa2Ni.

a = 5.0744 Å, b = 5.0744 Å, c = 5.8984 Å
α = 77.70°, β = 77.70°, γ = 34.98°
Closest atoms and distances in Å follow each position.
Fractional coordinates of all 4 atoms:
La: 0.5207 0.5207 0.4732  3 Ni 3.05-3.25, 2 La 3.05, 5 Ta 3.26-3.41
Ni: 0.2712 0.2712 0.1835  4 Ta 2.59-2.64
Ta: 0.9828 0.9828 0.0005  2 Ni 2.59, 3 Ta 2.78-2.85
Ta: 0.7253 0.7253 0.8428  2 Ni 2.64, 3 Ta 2.78-2.85

Results
- symmetry = Cm, No. 8



5.
## LaTa2Ni (PBE)

Data for an optimized crystal structure of LaTa2Ni.

a = 5.9959 Å, b = 5.9959 Å, c = 3.1463 Å
α = 76.77°, β = 76.77°, γ = 125.70°
Closest atoms and distances in Å follow each position.
Fractional coordinates of all 4 atoms:
La: 0.5000 0.0000 0.5000  4 Ni 2.74-2.96, 4 Ta 3.05
Ta: 0.5000 0.5000 0.0000  4 Ta 2.74-2.96, 2 Ni 3.05, 2 La 3.05
Ni: 0.0000 0.5000 0.5000  4 La 2.74-2.96, 4 Ta 3.05
Ta: 0.0000 0.0000 0.0000  4 Ta 2.74-2.96, 2 La 3.05, 2 Ni 3.05

Results
- symmetry = C2/m, No. 12



6.
## LaTa2Ni (PBE)

Data for an optimized crystal structure of LaTa2Ni.

a = 5.6914 Å, b = 5.6914 Å, c = 5.6914 Å
α = 138.52°, β = 138.52°, γ = 60.11°
Closest atoms and distances in Å follow each position.
Fractional coordinates of all 4 atoms:
La: 0.2500 0.7500 0.5000  4 Ni 2.85, 8 Ta 3.18
Ni: 0.7500 0.2500 0.5000  4 La 2.85, 8 Ta 3.18
Ta: 0.5000 0.5000 0.0000  4 Ta 2.85, 4 Ni 3.18, 4 La 3.18
Ta: 0.0000 0.0000 0.0000  4 Ta 2.85, 4 Ni 3.18, 4 La 3.18

Results
- symmetry = I4/mmm, No. 139



no.,formation energy from the elements (eV per atom),total moment (μB per formula unit),D(E_F) (states/eV/atom)
1,0.296,0.00,0.15
2,0.870,0.00,1.50
3,0.028,0.00,0.85
4,0.343,0.00,0.92
5,0.473,0.00,1.03
6,0.480,0.00,1.10